(1)
Entry from Alexandria: MgBeSe2 after structural relaxation (PBE).

Output
Magnetic moment ... 0.0 μB per formula unit
Relative energy among the computed polymorphs ... 6.14 kcal/mol of atoms
Calculated volume ... 17.80 A^3/atom

Cell: 3.666 3.666 6.465 Å, 73.60 73.60 60.12°
Fractional coordinates of all 4 atoms:
Mg: 0.750 0.750 0.750
Se: 0.509 0.509 0.470
Be: 0.250 0.250 0.250
Se: 0.991 0.991 0.030

(2)
Entry from Alexandria: MgBeSe after structural relaxation (PBE).

Output
Magnetic moment ... 0.0 μB per formula unit
Relative energy among the computed polymorphs ... 8.16 kcal/mol of atoms
Calculated volume ... 17.42 A^3/atom

Cell: 5.371 5.371 5.371 Å, 144.38 144.38 51.25°
Fractional coordinates of all 3 atoms:
Mg: 0.340 0.340 0.000
Se: 0.621 0.621 0.000
Be: 0.039 0.039 0.000

(3)
Entry from Alexandria: Mg2BeSe after structural relaxation (PBE).

Output
Magnetic moment ... 0.0 μB per formula unit
Relative energy among the computed polymorphs ... 3.75 kcal/mol of atoms
Calculated volume ... 19.02 A^3/atom

Cell: 6.039 6.039 6.039 Å, 143.88 143.88 52.00°
Fractional coordinates of all 4 atoms:
Mg: 0.000 0.000 0.000
Mg: 0.250 0.750 0.500
Se: 0.500 0.500 0.000
Be: 0.750 0.250 0.500

(4)
Entry from Alexandria: MgBeSe after structural relaxation (PBE).

Output
Magnetic moment ... 0.0 μB per formula unit
Relative energy among the computed polymorphs ... 13.15 kcal/mol of atoms
Calculated volume ... 20.57 A^3/atom

Cell: 4.435 4.435 4.435 Å, 60.00 60.00 60.00°
Fractional coordinates of all 3 atoms:
Be: 0.500 0.500 0.500
Mg: 0.750 0.750 0.750
Se: 0.000 0.000 0.000

(5)
Entry from Alexandria: Mg2BeSe after structural relaxation (PBE).

Output
Magnetic moment ... 0.0 μB per formula unit
Relative energy among the computed polymorphs ... 1.79 kcal/mol of atoms
Calculated volume ... 17.65 A^3/atom

Cell: 3.438 3.446 6.881 Å, 60.01 90.00 90.00°
Fractional coordinates of all 4 atoms:
Mg: 0.000 0.011 0.989
Mg: 0.000 0.489 0.511
Be: 0.500 0.750 0.750
Se: 0.500 0.250 0.250

(6)
Entry from Alexandria: Mg2BeSe after structural relaxation (PBE).

Output
Magnetic moment ... 0.0 μB per formula unit
Relative energy among the computed polymorphs ... 5.76 kcal/mol of atoms
Calculated volume ... 18.02 A^3/atom

Cell: 5.061 5.061 5.061 Å, 131.09 131.09 71.67°
Fractional coordinates of all 4 atoms:
Mg: 0.500 0.500 0.000
Mg: 0.000 0.000 0.000
Se: 0.250 0.750 0.500
Be: 0.750 0.250 0.500

(7)
Entry from Alexandria: Mg2BeSi2 after structural relaxation (PBE).

Output
Magnetic moment ... 0.0 μB per formula unit
E_tot ... -3.460 eV per atom
Calculated volume ... 16.37 A^3/atom

Cell: 6.228 6.228 4.220 Å, 90.00 90.00 90.00°
Fractional coordinates of all 10 atoms:
Si: 0.864 0.636 0.000
Si: 0.136 0.364 0.000
Mg: 0.176 0.676 0.500
Si: 0.636 0.136 0.000
Mg: 0.676 0.824 0.500
Mg: 0.324 0.176 0.500
Be: 0.000 0.000 0.000
Mg: 0.824 0.324 0.500
Be: 0.500 0.500 0.000
Si: 0.364 0.864 0.000

(8)
Entry from Alexandria: MgBe2Si after structural relaxation (PBE).

Output
Magnetic moment ... 0.0 μB per formula unit
Relative energy among the computed polymorphs ... 6.43 kcal/mol of atoms
Calculated volume ... 15.92 A^3/atom

Cell: 4.146 4.146 7.968 Å, 74.92 74.92 90.00°
Fractional coordinates of all 8 atoms:
Be: 0.375 0.124 0.750
Be: 0.875 0.126 0.750
Mg: 0.250 0.750 0.500
Be: 0.876 0.125 0.250
Be: 0.874 0.625 0.250
Si: 0.000 0.000 0.000
Mg: 0.500 0.500 0.000
Si: 0.750 0.250 0.500

(9)
Entry from Alexandria: MgBe2Si after structural relaxation (PBE).

Output
Magnetic moment ... 0.0 μB per formula unit
Relative energy among the computed polymorphs ... 10.74 kcal/mol of atoms
Calculated volume ... 13.18 A^3/atom

Cell: 4.209 4.209 4.209 Å, 60.00 60.00 60.00°
Fractional coordinates of all 4 atoms:
Si: 0.250 0.250 0.250
Be: 0.000 0.000 0.000
Be: 0.750 0.750 0.750
Mg: 0.500 0.500 0.500

(10)
Entry from Alexandria: MgBe2Si after structural relaxation (PBE).

Output
Magnetic moment ... 0.0 μB per formula unit
Relative energy among the computed polymorphs ... 1.68 kcal/mol of atoms
Calculated volume ... 13.56 A^3/atom

Cell: 3.764 5.230 6.048 Å, 107.84 91.66 105.36°
Fractional coordinates of all 8 atoms:
Be: 0.180 0.229 0.084
Mg: 0.199 0.314 0.611
Be: 0.820 0.771 0.916
Mg: 0.801 0.686 0.389
Be: 0.709 0.356 0.966
Si: 0.645 0.102 0.240
Si: 0.355 0.898 0.760
Be: 0.291 0.644 0.034

(11)
Entry from Alexandria: Mg2BeSi after structural relaxation (PBE).

Output
Magnetic moment ... 0.0 μB per formula unit
Relative energy among the computed polymorphs ... 5.95 kcal/mol of atoms
Calculated volume ... 16.26 A^3/atom

Cell: 4.973 4.973 4.973 Å, 132.78 132.78 69.01°
Fractional coordinates of all 4 atoms:
Be: 0.750 0.250 0.500
Si: 0.500 0.500 0.000
Mg: 0.250 0.750 0.500
Mg: 0.000 0.000 0.000

(12)
Entry from Alexandria: Mg3BeSi after structural relaxation (PBE).

Output
Magnetic moment ... 0.0 μB per formula unit
Relative energy among the computed polymorphs ... 0.00 kcal/mol of atoms
Calculated volume ... 20.44 A^3/atom

Cell: 4.675 4.675 4.675 Å, 90.00 90.00 90.00°
Fractional coordinates of all 5 atoms:
Mg: 0.000 0.500 0.000
Be: 0.000 0.000 0.000
Si: 0.500 0.500 0.500
Mg: 0.500 0.000 0.000
Mg: 0.000 0.000 0.500

(13)
Entry from Alexandria: MgBe2Si after structural relaxation (PBE).

Output
Magnetic moment ... 0.0 μB per formula unit
Relative energy among the computed polymorphs ... 1.69 kcal/mol of atoms
Calculated volume ... 15.47 A^3/atom

Cell: 3.617 3.617 5.461 Å, 90.00 90.00 120.00°
Fractional coordinates of all 4 atoms:
Si: 0.000 0.000 0.030
Be: 0.667 0.333 0.847
Mg: 0.000 0.000 0.515
Be: 0.333 0.667 0.847

(14)
Entry from Alexandria: Mg2BeSi after structural relaxation (PBE).

Output
Magnetic moment ... 0.0 μB per formula unit
Relative energy among the computed polymorphs ... 5.01 kcal/mol of atoms
Calculated volume ... 16.71 A^3/atom

Cell: 2.977 2.977 7.621 Å, 90.00 90.00 98.28°
Fractional coordinates of all 4 atoms:
Be: 0.500 0.500 0.714
Mg: 0.000 0.000 0.954
Mg: 0.500 0.500 0.281
Si: 0.000 0.000 0.551

(15)
Entry from Alexandria: MgBe2Si after structural relaxation (PBE).

Output
Magnetic moment ... 0.0 μB per formula unit
Relative energy among the computed polymorphs ... 5.31 kcal/mol of atoms
Calculated volume ... 14.10 A^3/atom

Cell: 3.821 3.821 5.777 Å, 77.36 77.36 43.46°
Fractional coordinates of all 4 atoms:
Be: 0.004 0.004 0.958
Be: 0.742 0.742 0.843
Mg: 0.500 0.500 0.537
Si: 0.254 0.254 0.162

(16)
Entry from Alexandria: MgBe2Si after structural relaxation (PBE).

Output
Magnetic moment ... 0.0 μB per formula unit
Relative energy among the computed polymorphs ... 5.89 kcal/mol of atoms
Calculated volume ... 13.05 A^3/atom

Cell: 2.640 3.375 5.858 Å, 90.00 90.00 90.00°
Fractional coordinates of all 4 atoms:
Mg: 0.000 0.000 0.483
Be: 0.000 0.000 0.023
Si: 0.500 0.500 0.806
Be: 0.500 0.500 0.188

(17)
Entry from Alexandria: MgBe2Si after structural relaxation (PBE).

Output
Magnetic moment ... 0.0 μB per formula unit
Relative energy among the computed polymorphs ... 6.78 kcal/mol of atoms
Calculated volume ... 13.12 A^3/atom

Cell: 2.768 3.336 5.684 Å, 90.00 90.00 90.00°
Fractional coordinates of all 4 atoms:
Si: 0.500 0.500 0.750
Be: 0.000 0.000 0.943
Mg: 0.500 0.500 0.250
Be: 0.000 0.000 0.557

(18)
Entry from Alexandria: MgBe2Si after structural relaxation (PBE).

Output
Magnetic moment ... 0.0 μB per formula unit
Relative energy among the computed polymorphs ... 1.74 kcal/mol of atoms
Calculated volume ... 13.96 A^3/atom

Cell: 5.398 3.604 6.229 Å, 90.00 112.85 90.00°
Fractional coordinates of all 8 atoms:
Mg: 0.527 0.500 0.591
Be: 0.150 0.500 0.131
Be: 0.150 0.000 0.631
Si: 0.941 0.000 0.895
Si: 0.941 0.500 0.395
Be: 0.143 0.500 0.795
Mg: 0.527 0.000 0.091
Be: 0.143 0.000 0.295

(19)
Entry from Alexandria: Mg2BeSi after structural relaxation (PBE).

Output
Magnetic moment ... 0.0 μB per formula unit
Relative energy among the computed polymorphs ... 8.56 kcal/mol of atoms
Calculated volume ... 16.73 A^3/atom

Cell: 8.989 8.989 8.989 Å, 18.95 18.95 18.95°
Fractional coordinates of all 4 atoms:
Si: 0.250 0.250 0.250
Mg: 0.493 0.493 0.493
Mg: 0.007 0.007 0.007
Be: 0.750 0.750 0.750

(20)
Entry from Alexandria: MgBe2Si after structural relaxation (PBE).

Output
Magnetic moment ... 0.0 μB per formula unit
Relative energy among the computed polymorphs ... 9.59 kcal/mol of atoms
Calculated volume ... 12.58 A^3/atom

Cell: 4.144 4.144 4.144 Å, 60.00 60.00 60.00°
Fractional coordinates of all 4 atoms:
Si: 0.500 0.500 0.500
Be: 0.250 0.250 0.250
Be: 0.750 0.750 0.750
Mg: 0.000 0.000 0.000

(21)
Entry from Alexandria: Mg2BeSi after structural relaxation (PBE).

Output
Magnetic moment ... 0.0 μB per formula unit
Relative energy among the computed polymorphs ... 6.25 kcal/mol of atoms
Calculated volume ... 16.42 A^3/atom

Cell: 4.529 4.529 4.529 Å, 60.00 60.00 60.00°
Fractional coordinates of all 4 atoms:
Be: 0.000 0.000 0.000
Mg: 0.250 0.250 0.250
Si: 0.500 0.500 0.500
Mg: 0.750 0.750 0.750

(22)
Entry from Alexandria: Mg2BeSi after structural relaxation (PBE).

Output
Magnetic moment ... 0.0 μB per formula unit
Relative energy among the computed polymorphs ... 3.95 kcal/mol of atoms
Calculated volume ... 16.51 A^3/atom

Cell: 5.319 5.319 4.631 Å, 73.05 73.05 31.93°
Fractional coordinates of all 4 atoms:
Mg: 0.770 0.770 0.707
Si: 0.540 0.540 0.509
Be: 0.217 0.217 0.228
Mg: 0.973 0.973 0.057

(23)
Entry from Alexandria: MgBe2Si after structural relaxation (PBE).

Output
Magnetic moment ... 0.0 μB per formula unit
Relative energy among the computed polymorphs ... 1.52 kcal/mol of atoms
Calculated volume ... 14.22 A^3/atom

Cell: 4.010 5.522 5.460 Å, 82.30 80.24 73.38°
Fractional coordinates of all 8 atoms:
Mg: 0.242 0.245 0.107
Be: 0.325 0.366 0.540
Be: 0.255 0.984 0.541
Be: 0.675 0.634 0.460
Be: 0.745 0.016 0.459
Si: 0.191 0.728 0.257
Si: 0.809 0.272 0.743
Mg: 0.758 0.755 0.893

(24)
Entry from Alexandria: Mg2BeSi after structural relaxation (PBE).

Output
Magnetic moment ... 0.0 μB per formula unit
Relative energy among the computed polymorphs ... 8.90 kcal/mol of atoms
Calculated volume ... 16.56 A^3/atom

Cell: 4.541 4.541 4.541 Å, 60.00 60.00 60.00°
Fractional coordinates of all 4 atoms:
Mg: 0.000 0.000 0.000
Si: 0.750 0.750 0.750
Be: 0.500 0.500 0.500
Mg: 0.250 0.250 0.250

(25)
Entry from Alexandria: Mg2BeSi after structural relaxation (PBE).

Output
Magnetic moment ... 0.0 μB per formula unit
Relative energy among the computed polymorphs ... 11.38 kcal/mol of atoms
Calculated volume ... 18.19 A^3/atom

Cell: 4.017 4.017 9.454 Å, 77.73 77.73 90.00°
Fractional coordinates of all 8 atoms:
Be: 0.500 0.500 0.000
Mg: 0.133 0.625 0.250
Mg: 0.875 0.867 0.750
Mg: 0.617 0.125 0.250
Si: 0.000 0.000 0.000
Be: 0.250 0.750 0.500
Mg: 0.375 0.383 0.750
Si: 0.750 0.250 0.500

(26)
Entry from Alexandria: Mg2BeSi after structural relaxation (PBE).

Output
Magnetic moment ... 0.0 μB per formula unit
Relative energy among the computed polymorphs ... 5.27 kcal/mol of atoms
Calculated volume ... 16.09 A^3/atom

Cell: 2.957 3.873 5.620 Å, 90.00 90.00 90.00°
Fractional coordinates of all 4 atoms:
Mg: 0.000 0.000 0.506
Be: 0.500 0.500 0.750
Mg: 0.000 0.000 0.994
Si: 0.500 0.500 0.250

(27)
Entry from Alexandria: MgBe4Si after structural relaxation (PBE).

Output
Magnetic moment ... 0.0 μB per formula unit
E_tot ... -3.397 eV per atom
Calculated volume ... 10.98 A^3/atom

Cell: 4.534 4.534 4.534 Å, 60.00 60.00 60.00°
Fractional coordinates of all 6 atoms:
Be: 0.376 0.376 0.376
Be: 0.376 0.873 0.376
Si: 0.000 0.000 0.000
Be: 0.376 0.376 0.873
Mg: 0.750 0.750 0.750
Be: 0.873 0.376 0.376

(28)
Entry from Alexandria: MgBe2Si after structural relaxation (PBE).

Output
Magnetic moment ... 0.0 μB per formula unit
Relative energy among the computed polymorphs ... 10.41 kcal/mol of atoms
Calculated volume ... 13.52 A^3/atom

Cell: 4.573 5.262 2.629 Å, 73.79 93.89 116.84°
Fractional coordinates of all 4 atoms:
Si: 0.500 0.500 0.000
Be: 0.000 0.000 0.000
Mg: 0.000 0.500 0.500
Be: 0.500 0.000 0.500

(29)
Entry from Alexandria: MgBe2Si after structural relaxation (PBE).

Output
Magnetic moment ... 0.0 μB per formula unit
Relative energy among the computed polymorphs ... 4.71 kcal/mol of atoms
Calculated volume ... 14.43 A^3/atom

Cell: 3.777 3.409 4.482 Å, 89.98 90.00 90.00°
Fractional coordinates of all 4 atoms:
Mg: 0.000 0.500 0.483
Be: 0.500 0.000 0.253
Si: 0.500 0.000 0.755
Be: 0.000 0.000 0.010